No. 1
# WS2BrCl

A geometry-optimized WS2BrCl structure (GGA-PBE, the Alexandria database).

Cell: 4.6952 4.6952 4.8212 Å, 90.00 90.00 90.00°
Space group P4/mmm (No. 123)
Symmetry-distinct sites (fractional):
W 0.0000 0.0000 0.0000 (multiplicity 1)
S 0.0000 0.5000 0.0000 (multiplicity 2)
Br 0.5000 0.5000 0.5000 (multiplicity 1)
Cl 0.0000 0.0000 0.5000 (multiplicity 1)

Calculated values
For the uncorrected formation energy, the calculation gives 34 meV/atom. The value obtained for the energy is -4.9117 eV/atom. The calculation puts the spin magnetization at 0.0 Bohr magnetons per cell.



No. 2
# NaYTe2

A geometry-optimized NaYTe2 structure (GGA-PBE, the Alexandria database).

Cell: 4.4770 4.4770 8.2691 Å, 90.00 90.00 120.00°
Space group P3m1 (No. 156)
Symmetry-distinct sites (fractional):
Na 0.0000 0.0000 0.0000 (multiplicity 1)
Y 0.6667 0.3333 0.5669 (multiplicity 1)
Te 0.0000 0.0000 0.3681 (multiplicity 1)
Te 0.3333 0.6667 0.7866 (multiplicity 1)

Calculated values
For the uncorrected formation energy, the calculation gives -1275 meV/atom. The value obtained for the energy is -4.7915 eV/atom. The calculation puts the spin magnetization at 0.0 Bohr magnetons per cell.



No. 3
# Ti4Zn10Ni

A geometry-optimized Ti4Zn10Ni structure (GGA-PBE, the Alexandria database).

Cell: 8.6340 8.6340 6.3345 Å, 90.00 90.00 90.00°
Space group I4/mmm (No. 139)
Symmetry-distinct sites (fractional):
Ti 0.2243 0.2243 0.0000 (multiplicity 8)
Zn 0.0000 0.2085 0.2972 (multiplicity 16)
Zn 0.0000 0.5000 0.2500 (multiplicity 4)
Ni 0.0000 0.0000 0.0000 (multiplicity 2)

Calculated values
The value obtained for the energy is -3.4056 eV/atom. The calculation puts the spin magnetization at 0.0 Bohr magnetons per cell. The formation energy comes out at -65.6 meV per atom.



No. 4
# BBrF3

A geometry-optimized BBrF3 structure (GGA-PBE, the Alexandria database).

Cell: 4.4846 4.4846 4.4846 Å, 90.00 90.00 90.00°
Space group Pm-3m (No. 221)
Symmetry-distinct sites (fractional):
B 0.0000 0.0000 0.0000 (multiplicity 1)
Br 0.5000 0.5000 0.5000 (multiplicity 1)
F 0.0000 0.5000 0.5000 (multiplicity 3)

Calculated values
For the uncorrected formation energy, the calculation gives 441 meV/atom. The value obtained for the energy is -2.3516 eV/atom. The calculation puts the spin magnetization at 0.0 Bohr magnetons per cell.



No. 5
# LaBe3Bi

A geometry-optimized LaBe3Bi structure (GGA-PBE, the Alexandria database).

Cell: 4.9914 4.9914 4.9914 Å, 90.00 90.00 90.00°
Space group Pm-3m (No. 221)
Symmetry-distinct sites (fractional):
La 0.0000 0.0000 0.0000 (multiplicity 1)
Be 0.0000 0.0000 0.5000 (multiplicity 3)
Bi 0.5000 0.5000 0.5000 (multiplicity 1)

Calculated values
The value obtained for the energy is -2.3403 eV/atom. The calculation puts the spin magnetization at 0.0 Bohr magnetons per cell. The formation energy comes out at 1657.1 meV per atom.



No. 6
# CdNiBi2Au

A geometry-optimized CdNiBi2Au structure (GGA-PBE, the Alexandria database).

Cell: 5.5793 5.5793 5.0888 Å, 90.00 90.00 90.00°
Space group P4/mmm (No. 123)
Symmetry-distinct sites (fractional):
Cd 0.0000 0.0000 0.0000 (multiplicity 1)
Ni 0.5000 0.5000 0.5000 (multiplicity 1)
Bi 0.0000 0.5000 0.0000 (multiplicity 2)
Au 0.0000 0.0000 0.5000 (multiplicity 1)

Calculated values
The value obtained for the energy is -2.4560 eV/atom. The calculation puts the spin magnetization at 0.5 Bohr magnetons per cell. The formation energy comes out at 1091.2 meV per atom.